CoTePbN2 | PBE | relaxed

a = 4.291 Å, b = 4.291 Å, c = 6.373 Å
α = 90.00°, β = 90.00°, γ = 90.00°
Fractional coordinates of all 5 atoms:
Pb  0.000  0.000  0.000
Te  0.000  0.000  0.500
Co  0.500  0.500  0.500
N  0.000  0.500  0.000
N  0.500  0.000  0.000

## Properties
Symmetry: P4/mmm, No. 123
Energy relative to the lowest polymorph listed for this composition in eV/atom: 0.7373
Electronic total energy in hartree per atom: -0.1531

Th3CoPbN | PBE | relaxed

a = 3.946 Å, b = 9.080 Å, c = 9.668 Å
α = 105.67°, β = 90.00°, γ = 90.00°
Fractional coordinates of all 12 atoms:
Th  0.250  0.825  0.473
Th  0.750  0.865  0.150
Th  0.750  0.464  0.154
Th  0.750  0.175  0.527
Th  0.250  0.536  0.846
Th  0.250  0.135  0.850
Co  0.250  0.660  0.147
Co  0.750  0.340  0.853
Pb  0.750  0.808  0.767
Pb  0.250  0.192  0.233
N  0.250  0.083  0.599
N  0.750  0.917  0.401

## Properties
Symmetry: P2_1/m, No. 11
Electronic total energy in hartree per atom: -0.2779

Y2CoPbN | PBE | relaxed

a = 5.024 Å, b = 5.024 Å, c = 3.845 Å
α = 90.00°, β = 90.00°, γ = 90.00°
Fractional coordinates of all 5 atoms:
Pb  0.500  0.500  0.500
Y  0.000  0.500  0.000
Y  0.500  0.000  0.000
Co  0.000  0.000  0.500
N  0.000  0.000  0.000

## Properties
Symmetry: P4/mmm, No. 123
Electronic total energy in hartree per atom: -0.2598

Co2PdN | PBE | relaxed

a = 2.808 Å, b = 2.808 Å, c = 6.550 Å
α = 77.62°, β = 77.62°, γ = 60.00°
Fractional coordinates of all 4 atoms:
Co  0.719  0.719  0.843
Co  0.281  0.281  0.157
Pd  0.500  0.500  0.500
N  0.000  0.000  0.000

## Properties
Symmetry: R-3m, No. 166
Electronic total energy in hartree per atom: -0.2496

CoPdN | PBE | relaxed

a = 5.083 Å, b = 5.083 Å, c = 5.540 Å
α = 63.11°, β = 63.11°, γ = 33.82°
Fractional coordinates of all 6 atoms:
N  0.505  0.505  0.350
N  0.248  0.248  0.957
Co  0.726  0.726  0.165
Co  0.027  0.027  0.142
Pd  0.265  0.265  0.553
Pd  0.488  0.488  0.755

## Properties
Symmetry: C2/m, No. 12
Electronic total energy in hartree per atom: -0.2411

CoPdN3 | PBE | relaxed

a = 3.887 Å, b = 3.887 Å, c = 3.887 Å
α = 90.00°, β = 90.00°, γ = 90.00°
Fractional coordinates of all 5 atoms:
Co  0.500  0.500  0.500
Pd  0.000  0.000  0.000
N  0.000  0.500  0.000
N  0.000  0.000  0.500
N  0.500  0.000  0.000

## Properties
Symmetry: Pm-3m, No. 221
Electronic total energy in hartree per atom: -0.1874